Here is a geometry-optimized RbTl2P2Se7 structure from the Alexandria database. Energies are from GGA-PBE.

ΔE_f (raw)   -0.238 eV/atom
Total energy   -3.647 eV/atom

Lattice parameters (Å, degrees): 11.620 11.620 11.620 32.60 32.60 32.60
Fractional coordinates of all 12 atoms:
Rb: 0.000 0.000 0.000
Tl: 0.179 0.179 0.179
Tl: 0.821 0.821 0.821
P: 0.425 0.425 0.425
P: 0.575 0.575 0.575
Se: 0.057 0.469 0.706
Se: 0.294 0.531 0.943
Se: 0.469 0.706 0.057
Se: 0.500 0.500 0.500
Se: 0.531 0.943 0.294
Se: 0.706 0.057 0.469
Se: 0.943 0.294 0.531

=====

Here is a geometry-optimized RbTlPSe3 structure from the Alexandria database. Energies are from GGA-PBE.

ΔE_f (raw)   -0.474 eV/atom
Total energy   -3.674 eV/atom

Lattice parameters (Å, degrees): 7.448 7.448 9.380 115.49 115.49 67.75
Fractional coordinates of all 12 atoms:
Rb: 0.186 0.186 0.208
Rb: 0.814 0.814 0.792
Tl: 0.196 0.804 0.500
Tl: 0.804 0.196 0.500
P: 0.484 0.484 0.866
P: 0.516 0.516 0.134
Se: 0.199 0.635 0.138
Se: 0.278 0.278 0.671
Se: 0.365 0.801 0.862
Se: 0.635 0.199 0.138
Se: 0.722 0.722 0.329
Se: 0.801 0.365 0.862

=====

Here is a geometry-optimized RbTl2PSe4 structure from the Alexandria database. Energies are from GGA-PBE.

ΔE_f (raw)   -0.212 eV/atom
Total energy   -3.343 eV/atom

Lattice parameters (Å, degrees): 8.590 8.590 8.590 120.84 119.72 89.52
Fractional coordinates of all 16 atoms:
Rb: 0.000 0.000 0.000
Rb: 0.500 0.000 0.500
Tl: 0.000 0.500 0.500
Tl: 0.500 0.000 0.000
Tl: 0.500 0.500 0.000
Tl: 0.500 0.500 0.500
P: 0.000 0.000 0.500
P: 0.000 0.500 0.000
Se: 0.195 0.738 0.457
Se: 0.218 0.262 0.957
Se: 0.226 0.254 0.529
Se: 0.226 0.697 0.971
Se: 0.774 0.303 0.029
Se: 0.774 0.746 0.471
Se: 0.782 0.738 0.043
Se: 0.805 0.262 0.543